Entry 1:
DFT (meta-GGA SCAN) results for a crystal of Ho2B6Os relaxed with PBEsol.

a b c (Å): 3.6046 9.0713 11.4306
angles (deg): 90.00 90.00 90.00
Fractional coordinates of all 36 atoms:
Ho  0.0000  0.3217  0.4139
Ho  0.0000  0.6783  0.5861
Ho  0.0000  0.8217  0.0861
Ho  0.0000  0.1783  0.9139
Ho  0.0000  0.9436  0.3728
Ho  0.0000  0.0564  0.6272
Ho  0.0000  0.4436  0.1272
Ho  0.0000  0.5564  0.8728
B  0.5000  0.5534  0.4333
B  0.5000  0.4466  0.5667
B  0.5000  0.0534  0.0667
B  0.5000  0.9466  0.9333
B  0.5000  0.7481  0.4202
B  0.5000  0.2519  0.5798
B  0.5000  0.2481  0.0798
B  0.5000  0.7519  0.9202
B  0.5000  0.7909  0.2665
B  0.5000  0.2091  0.7335
B  0.5000  0.2909  0.2335
B  0.5000  0.7091  0.7665
B  0.5000  0.6311  0.1852
B  0.5000  0.3689  0.8148
B  0.5000  0.1311  0.3148
B  0.5000  0.8689  0.6852
B  0.5000  0.9825  0.2128
B  0.5000  0.0175  0.7872
B  0.5000  0.4825  0.2872
B  0.5000  0.5175  0.7128
B  0.5000  0.6074  0.0298
B  0.5000  0.3926  0.9702
B  0.5000  0.1074  0.4702
B  0.5000  0.8926  0.5298
Os  0.0000  0.6373  0.3214
Os  0.0000  0.3627  0.6786
Os  0.0000  0.1373  0.1786
Os  0.0000  0.8627  0.8214

Calculated values
The value obtained for the calculated volume is 373.8 Å³/cell. As for the density: 10.4 Mg/m³. The space group is Pbam. The formation energy is -763 meV per atom. As for the total magnetization: 0.0 μB/cell.

=====

Entry 2:
DFT (meta-GGA SCAN) results for a crystal of HfPt3I relaxed with PBEsol.

a b c (Å): 4.9231 4.9231 4.9231
angles (deg): 90.00 90.00 90.00
Fractional coordinates of all 5 atoms:
I  0.5000  0.5000  0.5000
Hf  0.0000  0.0000  0.0000
Pt  0.0000  0.5000  0.0000
Pt  0.0000  0.0000  0.5000
Pt  0.5000  0.0000  0.0000

Calculated values
The value obtained for the calculated volume is 119.3 Å³/cell. As for the density: 12.4 Mg/m³. The space group is Pm-3m. As for the total magnetization: 0.0 μB/cell.

=====

Entry 3:
DFT (meta-GGA SCAN) results for a crystal of CaLa2Mg relaxed with PBEsol.

a b c (Å): 3.5805 4.8873 7.3715
angles (deg): 90.00 90.00 90.00
Fractional coordinates of all 4 atoms:
Ca  0.5000  0.5000  0.7331
Mg  0.0000  0.0000  0.4936
La  0.0000  0.0000  0.0347
La  0.5000  0.5000  0.2386

Calculated values
The value obtained for the calculated volume is 129.0 Å³/cell. As for the density: 4.4 Mg/m³. The space group is Pmm2. The formation energy is 8 meV per atom. As for the total magnetization: 0.0 μB/cell.

=====

Entry 4:
DFT (meta-GGA SCAN) results for a crystal of Sr2BeW relaxed with PBEsol.

a b c (Å): 4.6583 4.6583 5.3822
angles (deg): 115.64 115.64 90.00
Fractional coordinates of all 4 atoms:
Sr  0.0000  0.0000  0.0000
Sr  0.7500  0.2500  0.5000
W  0.5000  0.5000  0.0000
Be  0.2500  0.7500  0.5000

Calculated values
The value obtained for the calculated volume is 92.4 Å³/cell. As for the density: 6.6 Mg/m³. The space group is I-4m2. The formation energy is 1415 meV per atom. As for the total magnetization: 2.3 μB/cell.

=====

Entry 5:
DFT (meta-GGA SCAN) results for a crystal of Bi2P3Se9 relaxed with PBEsol.

a b c (Å): 7.4112 9.4335 21.0104
angles (deg): 91.25 90.00 90.00
Fractional coordinates of all 56 atoms:
Bi  0.8202  0.7631  0.1515
Bi  0.3202  0.7369  0.3485
Bi  0.1798  0.2369  0.8485
Bi  0.6798  0.2631  0.6515
Bi  0.9326  0.7541  0.8325
Bi  0.4326  0.7459  0.6675
Bi  0.0674  0.2459  0.1675
Bi  0.5674  0.2541  0.3325
P  0.9358  0.4748  0.0466
P  0.4358  0.0252  0.4534
P  0.0642  0.5252  0.9534
P  0.5642  0.9748  0.5466
P  0.0532  0.4262  0.3538
P  0.5532  0.0738  0.1462
P  0.9468  0.5738  0.6462
P  0.4468  0.9262  0.8538
P  0.1670  0.4407  0.6876
P  0.6670  0.0593  0.8124
P  0.8330  0.5593  0.3124
P  0.3330  0.9407  0.1876
Se  0.7285  0.4505  0.2260
Se  0.0496  0.2286  0.7040
Se  0.4504  0.7286  0.2040
Se  0.9504  0.7714  0.2960
Se  0.8715  0.0464  0.8896
Se  0.3715  0.4536  0.6104
Se  0.1285  0.9536  0.1104
Se  0.6285  0.5464  0.3896
Se  0.2430  0.9324  0.7767
Se  0.7430  0.5676  0.7233
Se  0.7570  0.0676  0.2233
Se  0.5496  0.2714  0.7960
Se  0.5656  0.7204  0.8768
Se  0.0656  0.7796  0.6232
Se  0.4344  0.2796  0.1232
Se  0.9344  0.2204  0.3768
Se  0.3522  0.0559  0.9355
Se  0.8522  0.4441  0.5645
Se  0.6478  0.9441  0.0645
Se  0.1478  0.5559  0.4355
Se  0.6068  0.7434  0.5468
Se  0.1068  0.7566  0.9532
Se  0.3932  0.2566  0.4532
Se  0.8932  0.2434  0.0468
Se  0.3675  0.0490  0.6192
Se  0.8675  0.4510  0.8808
Se  0.6325  0.9510  0.3808
Se  0.1325  0.5490  0.1192
Se  0.8163  0.0968  0.5492
Se  0.3163  0.4032  0.9508
Se  0.1837  0.9032  0.4508
Se  0.6837  0.5968  0.0492
Se  0.2715  0.5495  0.7740
Se  0.7715  0.9505  0.7260
Se  0.2570  0.4324  0.2767
Se  0.2285  0.0495  0.2740

Calculated values
The value obtained for the calculated volume is 1468.6 Å³/cell. As for the density: 5.5 Mg/m³. The space group is P2_1/c. As for the total magnetization: 0.0 μB/cell.

=====

Entry 6:
DFT (meta-GGA SCAN) results for a crystal of AsAu3O relaxed with PBEsol.

a b c (Å): 4.8045 4.8045 4.8045
angles (deg): 90.00 90.00 90.00
Fractional coordinates of all 5 atoms:
As  0.0000  0.0000  0.0000
Au  0.0000  0.5000  0.0000
Au  0.0000  0.0000  0.5000
Au  0.5000  0.0000  0.0000
O  0.5000  0.5000  0.5000

Calculated values
The value obtained for the calculated volume is 110.9 Å³/cell. As for the density: 10.2 Mg/m³. The space group is Pm-3m. As for the total magnetization: 1.9 μB/cell.

=====

Entry 7:
DFT (meta-GGA SCAN) results for a crystal of Hf2Tc2Pb relaxed with PBEsol.

a b c (Å): 3.4791 3.4791 8.6633
angles (deg): 101.58 101.58 90.00
Fractional coordinates of all 5 atoms:
Pb  0.0000  0.0000  0.0000
Hf  0.3857  0.3857  0.7715
Hf  0.6143  0.6143  0.2285
Tc  0.2500  0.7500  0.5000
Tc  0.7500  0.2500  0.5000

Calculated values
The value obtained for the calculated volume is 100.5 Å³/cell. As for the density: 12.6 Mg/m³. The space group is I4/mmm. The formation energy is 134 meV per atom. As for the total magnetization: 0.0 μB/cell.

=====

Entry 8:
DFT (meta-GGA SCAN) results for a crystal of SnPb2O4 relaxed with PBEsol.

a b c (Å): 6.3848 8.7420 8.7420
angles (deg): 90.00 90.00 90.00
Fractional coordinates of all 28 atoms:
Sn  0.7500  0.0000  0.5000
Sn  0.2500  0.5000  0.0000
Sn  0.2500  0.0000  0.5000
Sn  0.7500  0.5000  0.0000
Pb  0.0000  0.3593  0.6604
Pb  0.0000  0.6407  0.3396
Pb  0.0000  0.1407  0.1604
Pb  0.0000  0.8593  0.8396
Pb  0.5000  0.8396  0.1407
Pb  0.5000  0.1604  0.8593
Pb  0.5000  0.6604  0.6407
Pb  0.5000  0.3396  0.3593
O  0.5000  0.3737  0.0955
O  0.5000  0.6263  0.9045
O  0.5000  0.1263  0.5955
O  0.5000  0.8737  0.4045
O  0.0000  0.4045  0.1263
O  0.0000  0.5955  0.8737
O  0.0000  0.0955  0.6263
O  0.0000  0.9045  0.3737
O  0.7500  0.1663  0.3337
O  0.7500  0.8337  0.6663
O  0.2500  0.3337  0.8337
O  0.2500  0.6663  0.1663
O  0.7500  0.3337  0.8337
O  0.7500  0.6663  0.1663
O  0.2500  0.1663  0.3337
O  0.2500  0.8337  0.6663

Calculated values
The value obtained for the calculated volume is 487.9 Å³/cell. As for the density: 8.1 Mg/m³. The space group is P4_2/mbc. As for the total magnetization: 0.0 μB/cell.

=====

Entry 9:
DFT (meta-GGA SCAN) results for a crystal of Mn2NbWO relaxed with PBEsol.

a b c (Å): 4.8689 4.5063 4.5063
angles (deg): 90.00 90.00 90.00
Fractional coordinates of all 5 atoms:
Nb  0.5000  0.0000  0.0000
Mn  0.0000  0.0000  0.5000
Mn  0.0000  0.5000  0.0000
O  0.5000  0.5000  0.5000
W  0.0000  0.0000  0.0000

Calculated values
The value obtained for the calculated volume is 98.9 Å³/cell. As for the density: 6.8 Mg/m³. The space group is P4/mmm. As for the total magnetization: 8.2 μB/cell.

=====

Entry 10:
DFT (meta-GGA SCAN) results for a crystal of La2YZr relaxed with PBEsol.

a b c (Å): 3.4775 3.4775 11.3171
angles (deg): 81.16 81.16 60.00
Fractional coordinates of all 4 atoms:
La  0.2544  0.2544  0.2367
La  0.7456  0.7456  0.7633
Y  0.5000  0.5000  0.5000
Zr  0.0000  0.0000  0.0000

Calculated values
The value obtained for the calculated volume is 116.6 Å³/cell. As for the density: 6.5 Mg/m³. The space group is R-3m. The formation energy is 148 meV per atom. As for the total magnetization: 0.0 μB/cell.

=====

Entry 11:
DFT (meta-GGA SCAN) results for a crystal of ZrScHg2 relaxed with PBEsol.

a b c (Å): 3.1530 4.1084 6.3360
angles (deg): 90.00 90.00 90.00
Fractional coordinates of all 4 atoms:
Sc  0.5000  0.5000  0.0000
Hg  0.0000  0.0000  0.7520
Hg  0.0000  0.0000  0.2480
Zr  0.5000  0.5000  0.5000

Calculated values
The value obtained for the calculated volume is 82.1 Å³/cell. As for the density: 10.9 Mg/m³. The space group is Pmmm. The energy above the most stable polymorph in this dataset is 0.0142 eV/atom. The formation energy is -477 meV per atom. As for the total magnetization: 0.0 μB/cell.

=====

Entry 12:
DFT (meta-GGA SCAN) results for a crystal of PPt4 relaxed with PBEsol.

a b c (Å): 4.7240 4.7240 4.7240
angles (deg): 109.47 109.47 109.47
Fractional coordinates of all 5 atoms:
P  0.0000  0.0000  0.0000
Pt  0.0000  0.0000  0.5000
Pt  0.0000  0.5000  0.0000
Pt  0.5000  0.0000  0.0000
Pt  0.5000  0.5000  0.5000

Calculated values
The value obtained for the calculated volume is 81.2 Å³/cell. As for the density: 16.6 Mg/m³. The space group is Im-3m. The formation energy is -235 meV per atom. As for the total magnetization: 0.0 μB/cell.

=====

| no. | calculated total energy (eV for the cell shown) |
| --- | --- |
| 1 | -885.19 |
| 2 | -305.91 |
| 3 | -100.81 |
| 4 | -112.93 |
| 5 | -1487.23 |
| 6 | -229.99 |
| 7 | -270.58 |
| 8 | -890.34 |
| 9 | -137.75 |
| 10 | -144.16 |
| 11 | -183.18 |
| 12 | -292.35 |